The following is a PBE calculation of a relaxed structure of BaSr3Ir, from Alexandria via LeMat-Bulk.

Unit cell a=11.215 b=11.215 c=9.527 alpha=100.91 beta=100.91 gamma=21.99
Atoms (fractional coordinates):
Ba  0.044  0.044  0.213
Ba  0.956  0.956  0.787
Sr  0.111  0.111  0.583
Sr  0.236  0.236  0.340
Sr  0.340  0.340  0.987
Sr  0.660  0.660  0.013
Sr  0.764  0.764  0.660
Sr  0.889  0.889  0.417
Ir  0.357  0.357  0.640
Ir  0.643  0.643  0.360

* calculated formation energy: -0.09 eV per atom
* symmetry: No. 12

The following is a PBE calculation of a relaxed structure of CoCu2Pt, from Alexandria via LeMat-Bulk.

Unit cell a=2.680 b=3.650 c=5.252 alpha=90.00 beta=90.00 gamma=90.00
Atoms (fractional coordinates):
Co  0.000  0.000  0.000
Cu  0.000  0.000  0.488
Cu  0.500  0.500  0.258
Pt  0.500  0.500  0.764

* calculated formation energy: -0.01 eV per atom
* symmetry: No. 25

The following is a PBE calculation of a relaxed structure of Mn3AlS, from Alexandria via LeMat-Bulk.

Unit cell a=4.098 b=4.098 c=4.098 alpha=90.00 beta=90.00 gamma=90.00
Atoms (fractional coordinates):
Mn  0.000  0.000  0.500
Mn  0.000  0.500  0.000
Mn  0.500  0.000  0.000
Al  0.500  0.500  0.500
S  0.000  0.000  0.000

* symmetry: No. 221
* E_tot: -6.9519 eV per atom

The following is a PBE calculation of a relaxed structure of CaPm4Y3, from Alexandria via LeMat-Bulk.

Unit cell a=7.275 b=10.324 c=7.258 alpha=90.00 beta=90.00 gamma=90.00
Atoms (fractional coordinates):
Ca  0.000  0.000  0.000
Ca  0.500  0.000  0.500
Pm  0.000  0.000  0.500
Pm  0.000  0.500  0.500
Pm  0.250  0.257  0.250
Pm  0.250  0.743  0.750
Pm  0.500  0.000  0.000
Pm  0.500  0.500  0.000
Pm  0.750  0.257  0.250
Pm  0.750  0.743  0.750
Y  0.000  0.500  0.000
Y  0.250  0.256  0.750
Y  0.250  0.744  0.250
Y  0.500  0.500  0.500
Y  0.750  0.256  0.750
Y  0.750  0.744  0.250

* calculated formation energy: 0.05 eV per atom
* symmetry: No. 53

The following is a PBE calculation of a relaxed structure of TbThCdAg, from Alexandria via LeMat-Bulk.

Unit cell a=5.317 b=5.317 c=5.317 alpha=60.00 beta=60.00 gamma=60.00
Atoms (fractional coordinates):
Tb  0.000  0.000  0.000
Th  0.500  0.500  0.500
Cd  0.750  0.750  0.750
Ag  0.250  0.250  0.250

* calculated formation energy: -0.14 eV per atom
* symmetry: No. 216

The following is a PBE calculation of a relaxed structure of TaNbRu2, from Alexandria via LeMat-Bulk.

Unit cell a=5.664 b=5.664 c=5.664 alpha=150.98 beta=128.42 gamma=60.27
Atoms (fractional coordinates):
Ta  0.000  0.000  0.000
Nb  0.500  0.500  0.000
Ru  0.250  0.250  0.000
Ru  0.750  0.750  0.000

* calculated formation energy: 0.53 eV per atom
* symmetry: No. 71

The following is a PBE calculation of a relaxed structure of KNaC3, from Alexandria via LeMat-Bulk.

Unit cell a=4.593 b=4.593 c=4.593 alpha=90.00 beta=90.00 gamma=90.00
Atoms (fractional coordinates):
K  0.000  0.000  0.000
Na  0.500  0.500  0.500
C  0.000  0.500  0.500
C  0.500  0.000  0.500
C  0.500  0.500  0.000

* calculated formation energy: 3.35 eV per atom
* symmetry: No. 221

The following is a PBE calculation of a relaxed structure of Pm12Si6P, from Alexandria via LeMat-Bulk.

Unit cell a=8.485 b=8.485 c=8.485 alpha=99.33 beta=99.33 gamma=99.33
Atoms (fractional coordinates):
Pm  0.049  0.676  0.929
Pm  0.071  0.951  0.324
Pm  0.184  0.425  0.565
Pm  0.324  0.071  0.951
Pm  0.425  0.565  0.184
Pm  0.435  0.816  0.575
Pm  0.565  0.184  0.425
Pm  0.575  0.435  0.816
Pm  0.676  0.929  0.049
Pm  0.816  0.575  0.435
Pm  0.929  0.049  0.676
Pm  0.951  0.324  0.071
Si  0.129  0.614  0.299
Si  0.299  0.129  0.614
Si  0.386  0.701  0.871
Si  0.614  0.299  0.129
Si  0.701  0.871  0.386
Si  0.871  0.386  0.701
P  0.000  0.000  0.000

* symmetry: No. 148
* E_tot: -5.5121 eV per atom

The following is a PBE calculation of a relaxed structure of ThBiPd, from Alexandria via LeMat-Bulk.

Unit cell a=5.540 b=5.540 c=5.540 alpha=136.36 beta=136.36 gamma=63.43
Atoms (fractional coordinates):
Th  0.000  0.000  0.000
Bi  0.664  0.664  0.000
Pd  0.349  0.349  0.000

* calculated formation energy: -0.42 eV per atom
* symmetry: No. 107

The following is a PBE calculation of a relaxed structure of LiPdSe2, from Alexandria via LeMat-Bulk.

Unit cell a=4.615 b=4.615 c=4.615 alpha=60.00 beta=60.00 gamma=60.00
Atoms (fractional coordinates):
Li  0.000  0.000  0.000
Pd  0.500  0.500  0.500
Se  0.250  0.250  0.250
Se  0.750  0.750  0.750

* symmetry: No. 225
* E_tot: -3.8117 eV per atom

The following is a PBE calculation of a relaxed structure of PbBr, from Alexandria via LeMat-Bulk.

Unit cell a=3.533 b=5.723 c=6.380 alpha=90.00 beta=90.00 gamma=90.00
Atoms (fractional coordinates):
Pb  0.250  0.250  0.224
Pb  0.750  0.750  0.776
Br  0.250  0.250  0.701
Br  0.750  0.750  0.299

* symmetry: No. 59
* E_tot: -3.0711 eV per atom

The following is a PBE calculation of a relaxed structure of InCo2Cu, from Alexandria via LeMat-Bulk.

Unit cell a=4.775 b=4.273 c=5.350 alpha=90.00 beta=90.00 gamma=90.00
Atoms (fractional coordinates):
In  0.000  0.000  0.000
In  0.284  0.500  0.498
Co  0.354  0.500  0.002
Co  0.500  0.000  0.232
Co  0.778  0.500  0.250
Co  0.789  0.500  0.758
Cu  0.489  0.000  0.746
Cu  0.930  0.000  0.499

* calculated formation energy: 0.16 eV per atom
* symmetry: No. 6

Number 1: M_tot 0.0 μB per cell. Number 2: M_tot 2.1 μB per cell. Number 3: M_tot 4.0 μB per cell. Number 4: M_tot 0.0 μB per cell. Number 5: M_tot 0.9 μB per cell. Number 6: M_tot 0.0 μB per cell. Number 7: M_tot 0.2 μB per cell. Number 8: M_tot 0.0 μB per cell. Number 9: M_tot 0.0 μB per cell. Number 10: M_tot 0.0 μB per cell. Number 11: M_tot 0.0 μB per cell. Number 12: M_tot 5.4 μB per cell.